[1]
This record from OQMD describes CuPN2 after structural relaxation. The functional is GGA-PBE.

Cell lengths 2.702, 2.702, 17.084 Å; angles 90.00, 90.00, 120.00 degrees
Sites, in units of the cell vectors:
Cu  0.000  0.000  0.000
Cu  0.333  0.667  0.667
Cu  0.667  0.333  0.333
P  0.000  0.000  0.500
P  0.333  0.667  0.167
P  0.667  0.333  0.833
N  0.000  0.000  0.111
N  0.000  0.000  0.889
N  0.333  0.667  0.555
N  0.333  0.667  0.778
N  0.667  0.333  0.222
N  0.667  0.333  0.445

The total energy is -6.47 eV/atom. As for the calculated volume: 9.0 Å³ per atom.

---

[2]
This record from OQMD describes Ta4CuPN2 after structural relaxation. The functional is GGA-PBE.

Cell lengths 3.204, 3.204, 12.174 Å; angles 90.00, 90.00, 120.00 degrees
Sites, in units of the cell vectors:
Ta  0.000  0.000  0.143
Ta  0.000  0.000  0.857
Ta  0.667  0.333  0.334
Ta  0.667  0.333  0.666
Cu  0.000  0.000  0.500
P  0.667  0.333  0.000
N  0.333  0.667  0.246
N  0.333  0.667  0.754

The total energy is -9.72 eV/atom. As for the calculated volume: 13.5 Å³ per atom.

---

[3]
This record from OQMD describes Ta4CuPN2 after structural relaxation. The functional is GGA-PBE.

Cell lengths 3.204, 3.204, 12.174 Å; angles 90.00, 90.00, 120.00 degrees
Sites, in units of the cell vectors:
Ta  0.000  0.000  0.143
Ta  0.000  0.000  0.857
Ta  0.333  0.667  0.334
Ta  0.333  0.667  0.666
Cu  0.000  0.000  0.500
P  0.333  0.667  0.000
N  0.667  0.333  0.246
N  0.667  0.333  0.754

The total energy is -9.72 eV/atom. As for the calculated volume: 13.5 Å³ per atom.